(1)
VASP calculation (PBE) on a geometry-optimized LiAc2SbS6 structure.

Calculated values
Its uncorrected formation energy is -1.34 eV/atom. As for the space-group type: P2_1/c, No. 14. The value obtained for the size of the total moment is 0.0 μB per formula unit. The mass density comes out at 5.39 g cm⁻³.

a = 6.7181 Å, b = 7.3599 Å, c = 9.6603 Å
α = 90.00°, β = 89.38°, γ = 90.00°
Sites, in units of the cell vectors:
S 0.4007 0.9851 0.7502
S 0.9007 0.5149 0.2502
S 0.6835 0.3013 0.5462
S 0.3100 0.6814 0.0490
S 0.5993 0.0149 0.2498
S 0.3165 0.6987 0.4538
S 0.0993 0.4851 0.7498
S 0.1835 0.1987 0.0462
S 0.6900 0.3186 0.9510
S 0.1900 0.1814 0.4510
S 0.8100 0.8186 0.5490
S 0.8165 0.8013 0.9538
Ac 0.9690 0.0952 0.7510
Ac 0.4690 0.4048 0.2510
Ac 0.5310 0.5952 0.7490
Ac 0.0310 0.9048 0.2490
Sb 0.0000 0.5000 0.0000
Sb 0.5000 0.0000 0.5000
Li 0.0000 0.5000 0.5000
Li 0.5000 0.0000 0.0000

---

(2)
VASP calculation (PBE) on a geometry-optimized Li2AcSbS4 structure.

Calculated values
Its uncorrected formation energy is -1.16 eV/atom. As for the space-group type: I-42m, No. 121. The value obtained for the size of the total moment is 0.0 μB per formula unit. The mass density comes out at 4.42 g cm⁻³.

a = 6.8663 Å, b = 6.2325 Å, c = 6.2325 Å
α = 66.86°, β = 56.57°, γ = 56.57°
Sites, in units of the cell vectors:
Li 0.2500 0.2500 0.2500
Li 0.7500 0.7500 0.7500
Sb 0.5000 0.5000 0.5000
S 0.4631 0.0836 0.5370
S 0.0837 0.9164 0.4630
S 0.5369 0.4630 0.9164
S 0.9163 0.5370 0.0836
Ac 0.0000 0.0000 0.0000

---

(3)
VASP calculation (PBE) on a geometry-optimized Li3Ac3SbS8 structure.

Calculated values
Its uncorrected formation energy is -1.45 eV/atom. As for the space-group type: R-3m, No. 166. The value obtained for the size of the total moment is 0.0 μB per formula unit. The mass density comes out at 4.69 g cm⁻³.

a = 8.4765 Å, b = 8.4751 Å, c = 7.8553 Å
α = 122.67°, β = 90.00°, γ = 120.01°
Sites, in units of the cell vectors:
Li 0.5000 0.5000 0.0000
Li 0.0000 0.5000 0.0000
Li 0.0000 0.0000 0.0000
S 0.2462 0.4923 0.2387
S 0.7678 0.5357 0.2498
S 0.2139 0.9818 0.2498
S 0.7538 0.5077 0.7613
S 0.7861 0.0182 0.7502
S 0.7678 0.9818 0.2498
S 0.2322 0.0182 0.7502
S 0.2322 0.4643 0.7502
Ac 0.5000 0.5000 0.5000
Ac 0.0000 0.5000 0.5000
Ac 0.5000 0.0000 0.5000
Sb 0.0000 0.0000 0.5000

---

(4)
VASP calculation (PBE) on a geometry-optimized Li2Ac3ScS6 structure.

Calculated values
Its uncorrected formation energy is -1.64 eV/atom. As for the space-group type: P-3m1, No. 164. The value obtained for the size of the total moment is 1.4 μB per formula unit. The mass density comes out at 5.00 g cm⁻³.

a = 6.9196 Å, b = 6.9196 Å, c = 7.4738 Å
α = 90.00°, β = 90.00°, γ = 120.00°
Site moments in Bohr magnetons follow the coordinates.
Sites, in units of the cell vectors:
Ac 0.6667 0.3333 0.4004  0.08
Ac 0.0000 0.0000 0.0000  0.06
Ac 0.3333 0.6667 0.5996  0.08
S 0.1695 0.3391 0.2974  0.01
S 0.8305 0.1695 0.7026  0.01
S 0.3391 0.1695 0.7026  0.01
S 0.1695 0.8305 0.2974  0.01
S 0.6609 0.8305 0.2974  0.01
S 0.8305 0.6609 0.7026  0.01
Li 0.3333 0.6667 0.1248  0.04
Li 0.6667 0.3333 0.8752  0.04
Sc 0.0000 0.0000 0.5000  0.04

---

(5)
VASP calculation (PBE) on a geometry-optimized LiAcSc2S4 structure.

Calculated values
Its uncorrected formation energy is -1.79 eV/atom. As for the space-group type: Cmcm, No. 63. The value obtained for the size of the total moment is 0.0 μB per formula unit. The mass density comes out at 4.65 g cm⁻³.

a = 3.8891 Å, b = 6.7024 Å, c = 12.9430 Å
α = 90.00°, β = 90.00°, γ = 106.87°
Sites, in units of the cell vectors:
S 0.2643 0.5286 0.1119
S 0.5575 0.1150 0.2500
S 0.0000 0.0000 0.5000
S 0.7357 0.4714 0.8881
S 0.0000 0.0000 0.0000
S 0.7357 0.4714 0.6119
S 0.2643 0.5286 0.3881
S 0.4425 0.8850 0.7500
Li 0.8490 0.6981 0.7500
Li 0.1510 0.3019 0.2500
Sc 0.3769 0.7537 0.5546
Sc 0.3769 0.7537 0.9454
Sc 0.6231 0.2463 0.4454
Sc 0.6231 0.2463 0.0546
Ac 0.1179 0.2359 0.7500
Ac 0.8821 0.7641 0.2500

---

(6)
VASP calculation (PBE) on a geometry-optimized Li3Ac2ScS6 structure.

Calculated values
Its uncorrected formation energy is -1.76 eV/atom. As for the space-group type: C2/m, No. 12. The value obtained for the size of the total moment is 0.0 μB per formula unit. The mass density comes out at 4.25 g cm⁻³.

a = 7.2883 Å, b = 7.2883 Å, c = 6.4940 Å
α = 98.55°, β = 98.55°, γ = 122.10°
Sites, in units of the cell vectors:
S 0.6348 0.9275 0.7489
S 0.3652 0.0725 0.2511
S 0.7597 0.7597 0.2434
S 0.0725 0.3652 0.2511
S 0.9275 0.6348 0.7489
S 0.2403 0.2403 0.7566
Li 0.5000 0.5000 0.5000
Li 0.8803 0.1197 0.5000
Li 0.1197 0.8803 0.5000
Ac 0.3295 0.6705 0.0000
Ac 0.6705 0.3295 0.0000
Sc 0.0000 0.0000 0.0000

---

(7)
VASP calculation (PBE) on a geometry-optimized LiAc2ScS5 structure.

Calculated values
Its uncorrected formation energy is -1.97 eV/atom. As for the space-group type: Cmc2_1, No. 36. The value obtained for the size of the total moment is 0.0 μB per formula unit. The mass density comes out at 5.34 g cm⁻³.

a = 4.0884 Å, b = 8.6878 Å, c = 12.0000 Å
α = 90.00°, β = 90.00°, γ = 103.61°
Sites, in units of the cell vectors:
S 0.0556 0.1112 0.0577
S 0.4977 0.9954 0.7804
S 0.7138 0.4277 0.1552
S 0.6463 0.2925 0.5013
S 0.9444 0.8888 0.5577
S 0.2862 0.5723 0.6552
S 0.3537 0.7075 0.0013
S 0.6904 0.3809 0.8653
S 0.5023 0.0046 0.2804
S 0.3096 0.6191 0.3653
Li 0.5521 0.1043 0.9625
Li 0.4479 0.8957 0.4625
Ac 0.8708 0.7416 0.8049
Ac 0.1084 0.2167 0.6865
Ac 0.1292 0.2584 0.3049
Ac 0.8916 0.7833 0.1865
Sc 0.1982 0.3964 0.0102
Sc 0.8018 0.6036 0.5102

---

(8)
VASP calculation (PBE) on a geometry-optimized Li2Ac3Se2S4 structure.

Calculated values
Its uncorrected formation energy is -1.74 eV/atom. As for the space-group type: I4/mmm, No. 139. The value obtained for the size of the total moment is 0.0 μB per formula unit. The mass density comes out at 6.08 g cm⁻³.

a = 4.6954 Å, b = 4.6954 Å, c = 12.6052 Å
α = 100.73°, β = 100.73°, γ = 90.00°
Sites, in units of the cell vectors:
Li 0.5994 0.5994 0.1987
Li 0.4006 0.4006 0.8013
Ac 0.8316 0.8316 0.6632
Ac 0.1684 0.1684 0.3368
Ac 0.0000 0.0000 0.0000
Se 0.7032 0.7032 0.4064
Se 0.2968 0.2968 0.5936
S 0.0803 0.5803 0.1606
S 0.4197 0.9197 0.8394
S 0.9197 0.4197 0.8394
S 0.5803 0.0803 0.1606

---

(9)
VASP calculation (PBE) on a geometry-optimized LiAcSeS structure.

Calculated values
The calculation puts the distance to the lowest polymorph of the same formula at 0.24 eV/f.u. Its uncorrected formation energy is -1.61 eV/atom. As for the space-group type: F-43m, No. 216. The value obtained for the size of the total moment is 0.0 μB per formula unit. The mass density comes out at 6.05 g cm⁻³.

a = 5.1161 Å, b = 5.1161 Å, c = 5.1161 Å
α = 60.00°, β = 60.00°, γ = 60.00°
Sites, in units of the cell vectors:
S 0.7500 0.7500 0.7500
Li 0.5000 0.5000 0.5000
Ac 0.0000 0.0000 0.0000
Se 0.2500 0.2500 0.2500

---

(10)
VASP calculation (PBE) on a geometry-optimized Li2Ac3Se4S2 structure.

Calculated values
Its uncorrected formation energy is -1.65 eV/atom. As for the space-group type: I4/mmm, No. 139. The value obtained for the size of the total moment is 0.0 μB per formula unit. The mass density comes out at 6.24 g cm⁻³.

a = 4.8437 Å, b = 4.8437 Å, c = 12.6586 Å
α = 101.03°, β = 101.03°, γ = 90.00°
Sites, in units of the cell vectors:
Li 0.6097 0.6097 0.2194
Li 0.3903 0.3903 0.7806
S 0.7060 0.7060 0.4120
S 0.2940 0.2940 0.5880
Se 0.4163 0.9163 0.8326
Se 0.5837 0.0837 0.1674
Se 0.0837 0.5837 0.1674
Se 0.9163 0.4163 0.8326
Ac 0.1753 0.1753 0.3506
Ac 0.0000 0.0000 0.0000
Ac 0.8247 0.8247 0.6494

---

(11)
VASP calculation (PBE) on a geometry-optimized LiAcSeS structure.

Calculated values
The calculation puts the distance to the lowest polymorph of the same formula at 0.00 eV/f.u. Its uncorrected formation energy is -1.67 eV/atom. As for the space-group type: P4/nmm, No. 129. The value obtained for the size of the total moment is 0.0 μB per formula unit. The mass density comes out at 5.74 g cm⁻³.

a = 4.8431 Å, b = 4.8431 Å, c = 8.5051 Å
α = 90.00°, β = 90.00°, γ = 90.00°
Sites, in units of the cell vectors:
S 0.0000 0.0000 0.5000
S 0.5000 0.5000 0.5000
Ac 0.0000 0.5000 0.3146
Ac 0.5000 0.0000 0.6854
Se 0.5000 0.0000 0.1156
Se 0.0000 0.5000 0.8844
Li 0.5000 0.5000 0.0000
Li 0.0000 0.0000 0.0000

---

(12)
VASP calculation (PBE) on a geometry-optimized LiAcSiS4 structure.

Calculated values
Its uncorrected formation energy is -1.35 eV/atom. As for the space-group type: P2_1/m, No. 11. The value obtained for the size of the total moment is 0.0 μB per formula unit. The mass density comes out at 3.93 g cm⁻³.

a = 6.7190 Å, b = 6.6404 Å, c = 7.8320 Å
α = 90.00°, β = 109.09°, γ = 90.00°
Sites, in units of the cell vectors:
S 0.4264 0.7500 0.5892
S 0.5736 0.2500 0.4108
S 0.4227 0.7500 0.1393
S 0.9716 0.9981 0.7438
S 0.9716 0.5019 0.7438
S 0.0284 0.4981 0.2562
S 0.5773 0.2500 0.8607
S 0.0284 0.0019 0.2562
Si 0.2362 0.7500 0.3184
Si 0.7638 0.2500 0.6816
Ac 0.2595 0.2500 0.0556
Ac 0.7405 0.7500 0.9444
Li 0.7354 0.7500 0.4736
Li 0.2646 0.2500 0.5264

---

mass density of number 8 (Li2Ac3Se2S4)?
6.08 g cm⁻³

---

The highest mass density belongs to which entry?
Li2Ac3Se4S2